Record 1
Material: PAu2S
Method: DFT, PBE
State: optimized geometry

Cell lengths 6.0017, 6.0017, 6.4606 Å; angles 62.32, 62.32, 90.00 degrees
Positions (direct):
Au  0.1446  0.6250  0.2500
Au  0.8750  0.8554  0.7500
Au  0.3750  0.3946  0.7500
Au  0.6054  0.1250  0.2500
P  0.2500  0.7500  0.5000
P  0.5000  0.5000  0.0000
S  0.0000  0.0000  0.0000
S  0.7500  0.2500  0.5000

The calculation puts the uncorrected formation energy at 0.210 eV/atom. The energy comes out at -3.813 eV/atom.

Record 2
Material: CsDyGaTe3
Method: DFT, PBE
State: optimized geometry

Cell lengths 4.5530, 10.2190, 11.0588 Å; angles 108.47, 90.00, 90.00 degrees
Positions (direct):
Ga  0.2500  0.0753  0.6164
Ga  0.7500  0.9247  0.3836
Te  0.2500  0.5353  0.8388
Te  0.7500  0.8664  0.1246
Te  0.2500  0.7893  0.4346
Te  0.7500  0.4647  0.1612
Te  0.2500  0.1336  0.8754
Te  0.7500  0.2107  0.5654
Dy  0.2500  0.6567  0.1276
Dy  0.7500  0.3433  0.8724
Cs  0.7500  0.7964  0.7524
Cs  0.2500  0.2036  0.2476

The calculation puts the uncorrected formation energy at -0.977 eV/atom. The energy comes out at -3.962 eV/atom.

Record 3
Material: LaSb2ICl
Method: DFT, PBE
State: optimized geometry

Cell lengths 5.1420, 5.1420, 6.3194 Å; angles 90.00, 90.00, 90.00 degrees
Positions (direct):
Sb  0.0000  0.5000  0.0000
Sb  0.5000  0.0000  0.0000
Cl  0.0000  0.0000  0.0000
La  0.5000  0.5000  0.5000
I  0.0000  0.0000  0.5000

The calculation puts the uncorrected formation energy at -0.163 eV/atom. The energy comes out at -3.476 eV/atom.

Record 4
Material: Sr4Y2Ga
Method: DFT, PBE
State: optimized geometry

Cell lengths 6.1979, 6.1979, 9.8356 Å; angles 71.63, 71.63, 90.00 degrees
Positions (direct):
Ga  0.0000  0.0000  0.0000
Sr  0.1782  0.1782  0.6436
Sr  0.8218  0.8218  0.3564
Sr  0.0000  0.5000  0.0000
Sr  0.5000  0.0000  0.0000
Y  0.3967  0.3967  0.2065
Y  0.6033  0.6033  0.7935

The calculation puts the formation enthalpy at 0 K at 0.39 eV/atom. The energy comes out at -2.850 eV/atom.

Record 5
Material: Tm2SnHg4
Method: DFT, PBE
State: optimized geometry

Cell lengths 5.1366, 5.1366, 8.1346 Å; angles 71.91, 71.91, 59.63 degrees
Positions (direct):
Sn  0.0000  0.0000  0.0000
Tm  0.7203  0.7203  0.8391
Tm  0.2797  0.2797  0.1609
Hg  0.4265  0.4265  0.7212
Hg  0.5735  0.5735  0.2788
Hg  0.8579  0.8579  0.4256
Hg  0.1421  0.1421  0.5744

The calculation puts the formation enthalpy at 0 K at -0.32 eV/atom. The energy comes out at -2.339 eV/atom.

Record 6
Material: Tb3PrYEr
Method: DFT, PBE
State: optimized geometry

Cell lengths 3.6146, 9.5932, 12.0144 Å; angles 110.32, 90.00, 90.00 degrees
Positions (direct):
Pr  0.7500  0.8715  0.3715
Pr  0.2500  0.1285  0.6285
Tb  0.2500  0.0700  0.9048
Tb  0.7500  0.9300  0.0952
Tb  0.2500  0.6804  0.8479
Tb  0.7500  0.4334  0.5979
Tb  0.7500  0.3196  0.1521
Tb  0.2500  0.5666  0.4021
Y  0.2500  0.1826  0.3450
Y  0.7500  0.8174  0.6550
Er  0.7500  0.3778  0.8784
Er  0.2500  0.6222  0.1216

The calculation puts the formation enthalpy at 0 K at 0.00 eV/atom. The energy comes out at -4.947 eV/atom.

Record 7
Material: Ba2Tl3TcO6
Method: DFT, PBE
State: optimized geometry

Cell lengths 6.5008, 6.5008, 6.5310 Å; angles 98.68, 98.68, 120.18 degrees
Positions (direct):
Tl  0.8462  0.1538  0.5000
Tl  0.1538  0.8462  0.5000
Tl  0.5000  0.5000  0.5000
O  0.1889  0.1889  0.7867
O  0.0644  0.3128  0.1750
O  0.8111  0.8111  0.2133
O  0.9356  0.6872  0.8250
O  0.6872  0.9356  0.8250
O  0.3128  0.0644  0.1750
Ba  0.3306  0.6694  0.0000
Ba  0.6694  0.3306  0.0000
Tc  0.0000  0.0000  0.0000

The calculation puts the uncorrected formation energy at -1.475 eV/atom. The energy comes out at -5.730 eV/atom.

Record 8
Material: AgPd7Au4
Method: DFT, PBE
State: optimized geometry

Cell lengths 4.9338, 9.0225, 5.6082 Å; angles 84.68, 63.90, 74.13 degrees
Positions (direct):
Pd  0.7950  0.9160  0.4940
Pd  0.5000  0.0000  0.0000
Pd  0.9643  0.3822  0.6893
Pd  0.0357  0.6178  0.3107
Pd  0.3446  0.5403  0.7704
Pd  0.2050  0.0840  0.5060
Pd  0.6554  0.4597  0.2296
Au  0.2768  0.3093  0.1371
Au  0.4080  0.7726  0.4114
Au  0.7232  0.6907  0.8629
Au  0.5920  0.2274  0.5886
Ag  0.0000  0.0000  0.0000

The calculation puts the formation enthalpy at 0 K at 0.18 eV/atom. The energy comes out at -4.181 eV/atom.